No. 1
{
  "formula": "YSc2CuO",
  "functional": "PBE",
  "state": "optimized geometry",
  "cell": [[4.359, 0.000, 0.000], [0.000, 4.359, 0.000], [0.000, 0.000, 4.718]],
  "species": ["Y", "Sc", "Sc", "Cu", "O"],
  "frac_coords": [[0.000, 0.000, 0.000], [0.000, 0.500, 0.500], [0.500, 0.000, 0.500], [0.500, 0.500, 0.000], [0.000, 0.000, 0.500]],
  "crystal_system": "tetragonal",
  "space_group": "P4/mmm, No. 123",
  "rho_g_cm3": 4.8,
  "e_form_raw_ev_per_fu": -6.07,
  "total_energy_ev_per_atom": -6.8498
}

No. 2
{
  "formula": "ScZn2CuO",
  "functional": "PBE",
  "state": "optimized geometry",
  "cell": [[4.386, 0.000, 0.000], [0.000, 4.386, 0.000], [0.000, 0.000, 4.008]],
  "species": ["Sc", "Zn", "Zn", "Cu", "O"],
  "frac_coords": [[0.000, 0.000, 0.000], [0.000, 0.500, 0.500], [0.500, 0.000, 0.500], [0.500, 0.500, 0.000], [0.000, 0.000, 0.500]],
  "crystal_system": "tetragonal",
  "space_group": "P4/mmm, No. 123",
  "rho_g_cm3": 5.5,
  "e_form_raw_ev_per_fu": -3.06,
  "total_energy_ev_per_atom": -4.1982
}

No. 3
{
  "formula": "Sc2ZnCuO",
  "functional": "PBE",
  "state": "optimized geometry",
  "cell": [[4.280, 0.000, 0.000], [0.000, 4.280, 0.000], [0.000, 0.000, 4.220]],
  "species": ["Sc", "Sc", "Zn", "Cu", "O"],
  "frac_coords": [[0.000, 0.500, 0.000], [0.500, 0.000, 0.000], [0.000, 0.000, 0.500], [0.500, 0.500, 0.500], [0.500, 0.500, 0.000]],
  "crystal_system": "tetragonal",
  "space_group": "P4/mmm, No. 123",
  "rho_g_cm3": 5.0,
  "e_form_raw_ev_per_fu": -5.18,
  "total_energy_ev_per_atom": -5.6337
}

Please write out number 2 again, unchanged.
{
  "formula": "ScZn2CuO",
  "functional": "PBE",
  "state": "optimized geometry",
  "cell": [[4.386, 0.000, 0.000], [0.000, 4.386, 0.000], [0.000, 0.000, 4.008]],
  "species": ["Sc", "Zn", "Zn", "Cu", "O"],
  "frac_coords": [[0.000, 0.000, 0.000], [0.000, 0.500, 0.500], [0.500, 0.000, 0.500], [0.500, 0.500, 0.000], [0.000, 0.000, 0.500]],
  "crystal_system": "tetragonal",
  "space_group": "P4/mmm, No. 123",
  "rho_g_cm3": 5.5,
  "e_form_raw_ev_per_fu": -3.06,
  "total_energy_ev_per_atom": -4.1982
}